AlZnMo2 | the Alexandria database | PBE | relaxed; DOS(E_F) = 0.482 states/eV per atom; total energy = -6.71 eV per atom; ΔH_f (0 K) = -0.04 eV/atom
1.0
-2.710 -1.447 1.057
1.558 -0.955 2.686
-1.598 4.958 2.690
Mo Zn Al
2 1 1
Direct
0.000 0.000 0.016
0.500 0.500 0.234
0.000 0.000 0.509
0.500 0.500 0.742

LaEuHoSn | the Alexandria database | PBE | relaxed; DOS(E_F) = 1.359 states/eV per atom; total energy = -6.22 eV per atom; ΔH_f (0 K) = -0.27 eV/atom
1.0
5.565 0.000 0.000
2.783 4.820 0.000
2.783 1.607 4.544
Eu Ho Sn La
1 1 1 1
Direct
0.250 0.250 0.250
0.500 0.500 0.500
0.750 0.750 0.750
0.000 0.000 0.000

Ac9Tb2Pr | the Alexandria database | PBE | relaxed; DOS(E_F) = 1.605 states/eV per atom; total energy = -4.22 eV per atom; ΔH_f (0 K) = 0.03 eV/atom
1.0
-3.975 -2.754 -2.636
3.598 -3.970 -1.278
-3.786 -7.938 14.004
Ac Tb Pr
9 2 1
Direct
0.500 0.500 0.000
0.500 0.500 0.334
0.500 0.500 0.666
0.500 0.000 0.169
0.500 0.000 0.500
0.500 0.000 0.831
0.000 0.500 0.169
0.000 0.500 0.500
0.000 0.500 0.831
0.000 0.000 0.334
0.000 0.000 0.666
0.000 0.000 0.000

TmZrPbAu | the Alexandria database | PBE | relaxed; DOS(E_F) = 1.116 states/eV per atom; total energy = -5.38 eV per atom; ΔH_f (0 K) = -0.37 eV/atom
1.0
-3.525 -1.845 3.164
-4.477 -1.572 -1.822
-1.121 -4.957 -0.057
Pb Tm Au Zr
1 1 1 1
Direct
0.000 0.000 0.000
0.250 0.250 0.250
0.500 0.500 0.500
0.750 0.750 0.750

NbSiNi | the Alexandria database | PBE | relaxed; DOS(E_F) = 0.461 states/eV per atom; formation energy from raw total energies = -0.73 eV/atom; total energy = -7.83 eV per atom
1.0
3.692 0.000 0.000
0.000 6.256 0.000
0.000 0.000 7.112
Ni Nb Si
4 4 4
Direct
0.750 0.848 0.567
0.250 0.152 0.433
0.750 0.348 0.933
0.250 0.652 0.067
0.750 0.980 0.175
0.250 0.020 0.825
0.750 0.480 0.325
0.250 0.520 0.675
0.750 0.220 0.618
0.250 0.780 0.382
0.750 0.720 0.882
0.250 0.280 0.118

Ga2Pt2Pb | the Alexandria database | PBE | relaxed; DOS(E_F) = 0.485 states/eV per atom; polymorph energy (0 for the lowest one) = 0 meV/atom; total energy = -4.82 eV per atom; ΔH_f (0 K) = -0.45 eV/atom
1.0
-0.185 -2.726 2.871
3.873 -0.718 -0.433
3.111 2.591 5.396
Pb Ga Pt
1 2 2
Direct
0.000 0.000 0.000
0.750 0.250 0.500
0.250 0.750 0.500
0.382 0.382 0.236
0.618 0.618 0.764

MgRhAu3 | the Alexandria database | PBE | relaxed; DOS(E_F) = 1.049 states/eV per atom; polymorph energy (0 for the lowest one) = 779 meV/atom; total energy = -3.13 eV per atom; ΔH_f (0 K) = 0.62 eV/atom
1.0
-1.941 1.930 4.192
3.434 -2.434 2.711
3.083 3.927 -0.380
Rh Mg Au
1 1 3
Direct
0.000 0.000 0.000
0.500 0.500 0.500
0.000 0.500 0.000
0.000 0.000 0.500
0.500 0.000 0.000

CsBiSe2Br | the Alexandria database | PBE | relaxed; DOS(E_F) = 0.612 states/eV per atom; formation energy from raw total energies = -0.62 eV/atom; polymorph energy (0 for the lowest one) = 0 meV/atom; total energy = -3.29 eV per atom
1.0
5.570 0.000 0.000
0.000 5.570 0.000
0.000 0.000 6.009
Cs Se Bi Br
1 2 1 1
Direct
0.500 0.500 0.500
0.000 0.500 0.000
0.500 0.000 0.000
0.000 0.000 0.000
0.000 0.000 0.500